# Pu6ScS8, optimized geometry, DFT PBE-GGA
data_Pu6ScS8
_space_group_name_H-M_alt 'P 1'
_space_group_IT_number 1
_cell_length_a 7.8847
_cell_length_b 7.8847
_cell_length_c 7.8847
_cell_angle_alpha 60.00
_cell_angle_beta 60.00
_cell_angle_gamma 60.00
loop_
_space_group_symop_operation_xyz
'x,y,z'
loop_
_atom_site_label
_atom_site_fract_x
_atom_site_fract_y
_atom_site_fract_z
_atom_site_occupancy
Pu1 0.0000 0.5000 0.5000 1
Pu2 0.5000 0.0000 0.0000 1
Pu3 0.5000 0.5000 0.0000 1
Pu4 0.0000 0.0000 0.5000 1
Pu5 0.0000 0.5000 0.0000 1
Pu6 0.5000 0.0000 0.5000 1
Sc1 0.0000 0.0000 0.0000 1
S1 0.7500 0.7500 0.7500 1
S2 0.2500 0.2500 0.2500 1
S3 0.7613 0.2387 0.2387 1
S4 0.2387 0.7613 0.7613 1
S5 0.2387 0.2387 0.7613 1
S6 0.7613 0.7613 0.2387 1
S7 0.7613 0.2387 0.7613 1
S8 0.2387 0.7613 0.2387 1
# Energy (eV per atom): -10.135
# E_form (uncorrected) (eV per atom): -1.779
# Total magnetic moment (μB per formula unit): 33.88



# Pu2ScS5, optimized geometry, DFT PBE-GGA
data_Pu2ScS5
_space_group_name_H-M_alt 'P 1'
_space_group_IT_number 1
_cell_length_a 5.1510
_cell_length_b 5.0385
_cell_length_c 7.8217
_cell_angle_alpha 80.31
_cell_angle_beta 70.78
_cell_angle_gamma 59.26
loop_
_space_group_symop_operation_xyz
'x,y,z'
loop_
_atom_site_label
_atom_site_fract_x
_atom_site_fract_y
_atom_site_fract_z
_atom_site_occupancy
Pu1 0.8234 0.5000 0.8532 1
Pu2 0.1766 0.5000 0.1468 1
Sc1 0.5000 0.5000 0.5000 1
S1 0.1853 0.8264 0.8030 1
S2 0.4883 0.8264 0.1970 1
S3 0.0000 0.5000 0.5000 1
S4 0.8147 0.1736 0.1970 1
S5 0.5117 0.1736 0.8030 1
# Energy (eV per atom): -8.374
# E_form (uncorrected) (eV per atom): -1.420
# Total magnetic moment (μB per formula unit): 9.10